Below is an optimized crystal structure of NdNiC, with properties calculated at the PBE level.

Structure (CIF):
```
data_NdNiC
_space_group_name_H-M_alt 'P -1'
_space_group_IT_number 2
_space_group_name_Hall '-P 1'
_cell_length_a 3.9482
_cell_length_b 3.9891
_cell_length_c 6.5833
_cell_angle_alpha 101.33
_cell_angle_beta 100.38
_cell_angle_gamma 95.18
loop_
_atom_site_label
_atom_site_type_symbol
_atom_site_fract_x
_atom_site_fract_y
_atom_site_fract_z
Nd1 Nd 0.1688 0.4075 0.2417
Ni1 Ni 0.2860 0.0366 0.6239
C1 C 0.4472 0.0554 0.9119
```

Output
ΔE to the lowest computed polymorph in eV per atom: 0.000
Calculated total energy in hartree per atom: -0.2484
Energy of formation from the pure elements in meV/atom: -168
Total magnetic moment in μB per atom: 0.000
D(E_F) in states/eV/atom: 0.73